(1)
Dy3Tl2Cu | GGA-PBE | relaxed

Properties
The total magnetic moment comes out at 0.09 Bohr magnetons per cell. The calculation puts the relative energy among the computed polymorphs at 0 meV/atom. The calculation puts the total energy at -24.49 eV per formula unit.

a = 3.5555 Å, b = 3.5555 Å, c = 11.9639 Å
α = 90.00°, β = 90.00°, γ = 90.00°
Last column: nearest neighbours and their distance in Å.
Fractional positions:
1 Dy 0.0000 0.0000 0.0000  8 Tl 3.30, 4 Dy 3.56
2 Dy 0.0000 0.0000 0.3583  4 Cu 3.03, 4 Tl 3.30, 1 Dy 3.39
3 Dy 0.0000 0.0000 0.6417  4 Cu 3.03, 4 Tl 3.30, 1 Dy 3.39
4 Tl 0.5000 0.5000 0.1791  8 Dy 3.30, 4 Tl 3.56
5 Tl 0.5000 0.5000 0.8209  8 Dy 3.30, 4 Tl 3.56
6 Cu 0.5000 0.5000 0.5000  8 Dy 3.03

(2)
Dy5TlCu | GGA-PBE | relaxed

Properties
The total magnetic moment comes out at 0.00 Bohr magnetons per cell. The calculation puts the total energy at -29.51 eV per formula unit.

a = 6.4702 Å, b = 6.4702 Å, c = 11.3718 Å
α = 104.38°, β = 104.38°, γ = 61.72°
Last column: nearest neighbours and their distance in Å.
Fractional positions:
1 Dy 0.0290 0.9710 0.7500  2 Cu 2.85, 1 Tl 3.18
2 Dy 0.0671 0.3906 0.6402  1 Cu 2.79
3 Dy 0.2180 0.5196 0.9469  1 Cu 2.71
4 Dy 0.3906 0.0671 0.1402  1 Cu 2.79
5 Dy 0.4804 0.7820 0.5531  1 Cu 2.71
6 Dy 0.5196 0.2180 0.4469  1 Cu 2.71
7 Dy 0.6094 0.9329 0.8598  1 Cu 2.79
8 Dy 0.7820 0.4804 0.0531  1 Cu 2.71
9 Dy 0.9329 0.6094 0.3598  1 Cu 2.79
10 Dy 0.9710 0.0290 0.2500  2 Cu 2.85, 1 Tl 3.18
11 Tl 0.4498 0.5502 0.2500  8 Dy 3.18-3.46
12 Tl 0.5502 0.4498 0.7500  8 Dy 3.18-3.46
13 Cu 0.0000 0.0000 0.0000  6 Dy 2.71-2.85
14 Cu 0.0000 0.0000 0.5000  6 Dy 2.71-2.85

Which value of total energy does entry 1 give?
-24.49 eV per formula unit

Look up the total energy of the first one.
-24.49 eV per formula unit